1.
Material: PaZnPb
Method: DFT, PBE
State: relaxed

total magnetic moment = 0.38 μB/atom
ρ = 11.71 g/cm³
formation enthalpy at 0 K = 0.15 eV per atom
N(E_F) = 4.83 states/eV/cell

Cell: 3.2526 5.0347 5.0347 Å, 120.00 90.00 90.00°
Last column: nearest neighbours and their distance in Å.
Fractional positions:
Pa 0.3337 0.3333 0.6667  2 Pa 3.25, 6 Zn 3.33, 6 Pb 3.33
Pb 0.8344 0.6667 0.3333  3 Zn 2.91, 2 Pb 3.25
Zn 0.8318 0.0000 0.0000  3 Pb 2.91, 2 Zn 3.25


2.
Material: PaZn2Pb
Method: DFT, PBE
State: relaxed

total magnetic moment = 0.14 μB/atom
ρ = 10.62 g/cm³
formation enthalpy at 0 K = 0.03 eV per atom
distance to the lowest polymorph of the same formula = 0.0 kJ/mol of formula units
N(E_F) = 4.94 states/eV/cell

Cell: 4.3699 4.5126 4.5126 Å, 90.00 90.00 90.00°
Last column: nearest neighbours and their distance in Å.
Fractional positions:
Pb 0.5000 0.0000 0.0000  8 Zn 3.14, 4 Pa 3.19
Zn 0.0000 0.0000 0.5000  4 Pb 3.14, 4 Pa 3.14, 4 Zn 3.19
Zn 0.0000 0.5000 0.0000  4 Pb 3.14, 4 Pa 3.14, 4 Zn 3.19
Pa 0.5000 0.5000 0.5000  8 Zn 3.14, 4 Pb 3.19


3.
Material: PaZn2Pb
Method: DFT, PBE
State: relaxed

total magnetic moment = 0.16 μB/atom
ρ = 10.82 g/cm³
formation enthalpy at 0 K = 0.16 eV per atom
distance to the lowest polymorph of the same formula = 51.2 kJ/mol of formula units
N(E_F) = 4.55 states/eV/cell

Cell: 4.9793 4.9793 4.9793 Å, 60.00 60.00 60.00°
Last column: nearest neighbours and their distance in Å.
Fractional positions:
Zn 0.7500 0.7500 0.7500  4 Pb 3.05, 4 Pa 3.05
Zn 0.2500 0.2500 0.2500  4 Pa 3.05, 4 Pb 3.05
Pb 0.0000 0.0000 0.0000  8 Zn 3.05
Pa 0.5000 0.5000 0.5000  8 Zn 3.05


4.
Material: PaZn4Pb
Method: DFT, PBE
State: relaxed

total magnetic moment = 0.23 μB/atom
ρ = 9.65 g/cm³
formation enthalpy at 0 K = 0.15 eV per atom
N(E_F) = 7.84 states/eV/cell

Cell: 5.5427 5.5427 5.5427 Å, 60.00 60.00 60.00°
Last column: nearest neighbours and their distance in Å.
Fractional positions:
Zn 0.1277 0.6241 0.6241  6 Zn 2.75-2.79
Zn 0.6241 0.1277 0.6241  6 Zn 2.75-2.79
Zn 0.6241 0.6241 0.1277  6 Zn 2.75-2.79
Zn 0.6241 0.6241 0.6241  6 Zn 2.75-2.79
Pb 0.0000 0.0000 0.0000  12 Zn 3.25, 4 Pa 3.39
Pa 0.2500 0.2500 0.2500  12 Zn 3.25, 4 Pb 3.39


5.
Material: PaZnPb
Method: DFT, PBE
State: relaxed

total magnetic moment = 0.34 μB/atom
ρ = 10.29 g/cm³
formation enthalpy at 0 K = 0.44 eV per atom
N(E_F) = 4.87 states/eV/cell

Cell: 3.1007 3.1007 8.7351 Å, 100.22 100.22 90.00°
Last column: nearest neighbours and their distance in Å.
Fractional positions:
Pb 0.7789 0.7789 0.5578  1 Zn 2.86, 4 Pb 3.10
Pa 0.1232 0.1232 0.2464  1 Zn 2.96, 4 Pa 3.10
Zn 0.9479 0.9479 0.8958  1 Pb 2.86, 1 Pa 2.96, 4 Zn 3.10


6.
Material: ZrPa2Pb
Method: DFT, PBE
State: relaxed

total magnetic moment = 0.00 μB/atom
ρ = 12.09 g/cm³
formation enthalpy at 0 K = 0.33 eV per atom
distance to the lowest polymorph of the same formula = 141.5 kJ/mol of formula units
N(E_F) = 7.90 states/eV/cell

Cell: 5.2861 5.2861 5.2872 Å, 60.01 60.01 60.00°
Last column: nearest neighbours and their distance in Å.
Fractional positions:
Pa 0.7500 0.7500 0.7499  4 Zr 3.24, 4 Pb 3.24
Pa 0.2500 0.2500 0.2501  4 Zr 3.24, 4 Pb 3.24
Zr 0.5000 0.5000 0.5000  8 Pa 3.24
Pb 0.0000 0.0000 0.0000  8 Pa 3.24


Q: Which of these has the highest formation enthalpy at 0 K?
A: number 5


Q: Which value of N(E_F) does entry 1 give?
A: 4.83 states/eV/cell


Q: Number 1 is which compound?
A: PaZnPb